[1]
# PaAs2I PBE relaxed
# Volume = 26.0 Å³ per atom
# Crystal system = tetragonal
# ΔE_f (raw) = -627 meV per atom
# E above lowest polymorph = 0 meV per atom
data_PaAs2I
_symmetry_space_group_name_H-M 'P 4/m m m'
_symmetry_Int_Tables_number 123
_symmetry_space_group_name_Hall '-P 4 2'
_cell_length_a 3.907
_cell_length_b 3.907
_cell_length_c 6.816
_cell_angle_alpha 90.00
_cell_angle_beta 90.00
_cell_angle_gamma 90.00
loop_
_atom_site_label
_atom_site_type_symbol
_atom_site_fract_x
_atom_site_fract_y
_atom_site_fract_z
Pa1 Pa 0.000 0.000 0.000
As1 As 0.500 0.500 0.178
I1 I 0.000 0.000 0.500

***

[2]
# KTaGe2O8 PBE relaxed
# Volume = 16.9 Å³ per atom
# Crystal system = trigonal
# ΔE_f (raw) = -1698 meV per atom
data_KTaGe2O8
_symmetry_space_group_name_H-M 'P -3'
_symmetry_Int_Tables_number 147
_symmetry_space_group_name_Hall '-P 3'
_cell_length_a 5.6175
_cell_length_b 5.6175
_cell_length_c 7.4190
_cell_angle_alpha 90.00
_cell_angle_beta 90.00
_cell_angle_gamma 120.00
loop_
_atom_site_label
_atom_site_type_symbol
_atom_site_fract_x
_atom_site_fract_y
_atom_site_fract_z
K1 K 0.0000 0.0000 0.0000
Ta1 Ta 0.0000 0.0000 0.5000
Ge1 Ge 0.3333 0.6667 0.7331
O1 O 0.1575 0.3250 0.6592
O2 O 0.3333 0.6667 0.9733

***

[3]
# Th8HgPt2 PBE relaxed
# Volume = 30.2 Å³ per atom
# Crystal system = monoclinic
# Energy relative to the elements = -327.2 meV/atom
data_Th8HgPt2
_symmetry_space_group_name_H-M 'C 1 2/m 1'
_symmetry_Int_Tables_number 12
_symmetry_space_group_name_Hall '-C 2y'
_cell_length_a 15.279
_cell_length_b 6.936
_cell_length_c 6.312
_cell_angle_alpha 90.00
_cell_angle_beta 96.96
_cell_angle_gamma 90.00
loop_
_atom_site_label
_atom_site_type_symbol
_atom_site_fract_x
_atom_site_fract_y
_atom_site_fract_z
Th1 Th 0.082 0.000 0.375
Th2 Th 0.112 0.251 0.873
Th3 Th 0.202 0.500 0.373
Hg1 Hg 0.000 0.500 0.500
Pt1 Pt 0.234 0.000 0.154

***

[4]
# NiAgSe2 PBE relaxed
# Volume = 20.0 Å³ per atom
# Crystal system = tetragonal
# ΔE_f (raw) = 37 meV per atom
# E above lowest polymorph = 184 meV per atom
data_NiAgSe2
_symmetry_space_group_name_H-M 'I 4/m c m'
_symmetry_Int_Tables_number 140
_symmetry_space_group_name_Hall '-I 4 2c'
_cell_length_a 7.584
_cell_length_b 7.584
_cell_length_c 5.566
_cell_angle_alpha 90.00
_cell_angle_beta 90.00
_cell_angle_gamma 90.00
loop_
_atom_site_label
_atom_site_type_symbol
_atom_site_fract_x
_atom_site_fract_y
_atom_site_fract_z
Ni1 Ni 0.000 0.500 0.250
Ag1 Ag 0.000 0.000 0.250
Se1 Se 0.171 0.329 0.000

***

[5]
# YMn2Br PBE relaxed
# Volume = 20.8 Å³ per atom
# Crystal system = monoclinic
# ΔE_f (raw) = 187 meV per atom
# E above lowest polymorph = 280 meV per atom
data_YMn2Br
_symmetry_space_group_name_H-M 'P 1 2/m 1'
_symmetry_Int_Tables_number 10
_symmetry_space_group_name_Hall '-P 2y'
_cell_length_a 3.467
_cell_length_b 4.574
_cell_length_c 5.291
_cell_angle_alpha 90.00
_cell_angle_beta 96.44
_cell_angle_gamma 90.00
loop_
_atom_site_label
_atom_site_type_symbol
_atom_site_fract_x
_atom_site_fract_y
_atom_site_fract_z
Y1 Y 0.000 0.000 0.000
Mn1 Mn 0.449 0.500 0.760
Br1 Br 0.500 0.000 0.500

***

[6]
# TaCu3Se PBE relaxed
# Volume = 17.5 Å³ per atom
# Crystal system = cubic
# ΔE_f (raw) = 1067 meV per atom
# E above lowest polymorph = 0 meV per atom
data_TaCu3Se
_symmetry_space_group_name_H-M 'P m -3 m'
_symmetry_Int_Tables_number 221
_symmetry_space_group_name_Hall '-P 4 2 3'
_cell_length_a 4.442
_cell_length_b 4.442
_cell_length_c 4.442
_cell_angle_alpha 90.00
_cell_angle_beta 90.00
_cell_angle_gamma 90.00
loop_
_atom_site_label
_atom_site_type_symbol
_atom_site_fract_x
_atom_site_fract_y
_atom_site_fract_z
Ta1 Ta 0.000 0.000 0.000
Cu1 Cu 0.000 0.500 0.500
Se1 Se 0.500 0.500 0.500

***

[7]
# Li2Nd2TmPb2 PBE relaxed
# Volume = 26.7 Å³ per atom
# Crystal system = trigonal
# Energy relative to the elements = -317.1 meV/atom
data_Li2Nd2TmPb2
_symmetry_space_group_name_H-M 'R -3 m'
_symmetry_Int_Tables_number 166
_symmetry_space_group_name_Hall '-R 3 2"'
_cell_length_a 4.8416
_cell_length_b 4.8416
_cell_length_c 27.6683
_cell_angle_alpha 90.00
_cell_angle_beta 90.00
_cell_angle_gamma 120.00
loop_
_atom_site_label
_atom_site_type_symbol
_atom_site_fract_x
_atom_site_fract_y
_atom_site_fract_z
Li1 Li 0.0000 0.0000 0.1067
Nd1 Nd 0.0000 0.0000 0.3727
Tm1 Tm 0.0000 0.0000 0.5000
Pb1 Pb 0.0000 0.0000 0.2313

***

[8]
# LaTlIr3 PBE relaxed
# Volume = 25.7 Å³ per atom
# Crystal system = cubic
# Energy relative to the elements = 1695.8 meV/atom
# E above lowest polymorph = 564 meV per atom
data_LaTlIr3
_symmetry_space_group_name_H-M 'P m -3 m'
_symmetry_Int_Tables_number 221
_symmetry_space_group_name_Hall '-P 4 2 3'
_cell_length_a 5.049
_cell_length_b 5.049
_cell_length_c 5.049
_cell_angle_alpha 90.00
_cell_angle_beta 90.00
_cell_angle_gamma 90.00
loop_
_atom_site_label
_atom_site_type_symbol
_atom_site_fract_x
_atom_site_fract_y
_atom_site_fract_z
La1 La 0.000 0.000 0.000
Tl1 Tl 0.500 0.500 0.500
Ir1 Ir 0.000 0.000 0.500

***

[9]
# InTe2Mo2 PBE relaxed
# Volume = 24.4 Å³ per atom
# Crystal system = tetragonal
# ΔE_f (raw) = 304 meV per atom
# E above lowest polymorph = 0 meV per atom
data_InTe2Mo2
_symmetry_space_group_name_H-M 'I 4/m m m'
_symmetry_Int_Tables_number 139
_symmetry_space_group_name_Hall '-I 4 2'
_cell_length_a 5.345
_cell_length_b 5.345
_cell_length_c 8.541
_cell_angle_alpha 90.00
_cell_angle_beta 90.00
_cell_angle_gamma 90.00
loop_
_atom_site_label
_atom_site_type_symbol
_atom_site_fract_x
_atom_site_fract_y
_atom_site_fract_z
In1 In 0.000 0.000 0.000
Te1 Te 0.000 0.500 0.250
Mo1 Mo 0.000 0.000 0.371

***

[10]
# Pu3Tl PBE relaxed
# Volume = 24.3 Å³ per atom
# Crystal system = orthorhombic
# Energy relative to the elements = 341.8 meV/atom
data_Pu3Tl
_symmetry_space_group_name_H-M 'P m m 2'
_symmetry_Int_Tables_number 25
_symmetry_space_group_name_Hall 'P 2 -2'
_cell_length_a 3.312
_cell_length_b 3.480
_cell_length_c 8.425
_cell_angle_alpha 90.00
_cell_angle_beta 90.00
_cell_angle_gamma 90.00
loop_
_atom_site_label
_atom_site_type_symbol
_atom_site_fract_x
_atom_site_fract_y
_atom_site_fract_z
Pu1 Pu 0.000 0.000 0.000
Pu2 Pu 0.000 0.500 0.293
Pu3 Pu 0.500 0.500 0.897
Tl1 Tl 0.500 0.000 0.578

***

[11]
# KLaCr2 PBE relaxed
# Volume = 31.9 Å³ per atom
# Crystal system = tetragonal
# Energy relative to the elements = 878.0 meV/atom
# E above lowest polymorph = 268 meV per atom
data_KLaCr2
_symmetry_space_group_name_H-M 'P 4/m m m'
_symmetry_Int_Tables_number 123
_symmetry_space_group_name_Hall '-P 4 2'
_cell_length_a 3.864
_cell_length_b 3.864
_cell_length_c 8.538
_cell_angle_alpha 90.00
_cell_angle_beta 90.00
_cell_angle_gamma 90.00
loop_
_atom_site_label
_atom_site_type_symbol
_atom_site_fract_x
_atom_site_fract_y
_atom_site_fract_z
K1 K 0.000 0.000 0.000
La1 La 0.000 0.000 0.500
Cr1 Cr 0.500 0.500 0.306

***

[12]
# Ti2Tc2Ni PBE relaxed
# Volume = 15.4 Å³ per atom
# Crystal system = tetragonal
# Energy relative to the elements = -5.0 meV/atom
data_Ti2Tc2Ni
_symmetry_space_group_name_H-M 'P 4/m b m'
_symmetry_Int_Tables_number 127
_symmetry_space_group_name_Hall '-P 4 2ab'
_cell_length_a 6.464
_cell_length_b 6.464
_cell_length_c 3.687
_cell_angle_alpha 90.00
_cell_angle_beta 90.00
_cell_angle_gamma 90.00
loop_
_atom_site_label
_atom_site_type_symbol
_atom_site_fract_x
_atom_site_fract_y
_atom_site_fract_z
Ti1 Ti 0.174 0.326 0.000
Tc1 Tc 0.138 0.638 0.500
Ni1 Ni 0.000 0.000 0.500

***

Question: Which formula does entry 6 have?
Answer: TaCu3Se